Density functional theory data (GGA-PBE) for Pr2AgPt after structural relaxation.

Results
Mass density   9.24 g/cm³
Crystal system   monoclinic
Energy relative to the elements   -692 meV per atom
Final energy   -5.305 eV per atom

CIF file:
```
data_Pr2AgPt
_cell_length_a 4.736
_cell_length_b 6.012
_cell_length_c 7.907
_cell_angle_alpha 111.00
_cell_angle_beta 90.00
_cell_angle_gamma 90.00
_symmetry_space_group_name_H-M 'P 1'
_symmetry_Int_Tables_number 1
_symmetry_space_group_name_Hall 'P 1'
loop_
_atom_site_label
_atom_site_type_symbol
_atom_site_fract_x
_atom_site_fract_y
_atom_site_fract_z
_atom_site_occupancy
Pt1 Pt 0.250 0.335 0.207 1
Pt2 Pt 0.750 0.665 0.793 1
Ag1 Ag 0.250 0.326 0.709 1
Ag2 Ag 0.750 0.674 0.291 1
Pr1 Pr 0.250 0.785 0.065 1
Pr2 Pr 0.750 0.215 0.935 1
Pr3 Pr 0.750 0.238 0.423 1
Pr4 Pr 0.250 0.762 0.577 1
```